# 1
# InSCl2F

InSCl2F after structural relaxation (PBE, Alexandria).

- Electronic total energy: -0.196 Ry/atom
- Space group: P4/mmm (123)
- Density of states at the Fermi level: 4.79 states/eV/cell
- Uncorrected formation energy: -0.181 eV/atom

Cell and atoms, written as POSCAR:
```
InSCl2F
1.0
4.977 0.000 0.000
0.000 4.977 0.000
0.000 0.000 5.448
Cl S In F
2 1 1 1
Cartesian
2.488 0.000 0.000 Cl
0.000 2.488 0.000 Cl
0.000 0.000 2.724 S
0.000 0.000 0.000 In
2.488 2.488 2.724 F
```


# 2
# InSbClF2

InSbClF2 after structural relaxation (PBE, Alexandria).

- Electronic total energy: -0.291 Ry/atom
- Space group: P4/mmm (123)
- Density of states at the Fermi level: 1.63 states/eV/cell
- Uncorrected formation energy: -1.467 eV/atom

Cell and atoms, written as POSCAR:
```
InSbClF2
1.0
4.354 0.000 0.000
0.000 4.354 0.000
0.000 0.000 6.229
Cl F Sb In
1 2 1 1
Cartesian
2.177 2.177 3.114 Cl
0.000 2.177 0.000 F
2.177 0.000 0.000 F
0.000 0.000 0.000 Sb
0.000 0.000 3.114 In
```


# 3
# TiIn2Cl2F4

TiIn2Cl2F4 after structural relaxation (PBE, Alexandria).

- Electronic total energy: -0.362 Ry/atom
- Space group: C2/m (12)
- Density of states at the Fermi level: 0.00 states/eV/cell
- Uncorrected formation energy: -2.201 eV/atom

Cell and atoms, written as POSCAR:
```
TiIn2Cl2F4
1.0
-1.761 -4.634 1.999
4.556 -3.009 -3.982
6.453 -1.385 1.453
F Cl In Ti
4 2 2 1
Cartesian
4.150 -6.217 -1.398 F
5.191 -5.325 1.586 F
5.097 -2.811 0.868 F
4.056 -3.702 -2.116 F
1.409 -2.427 0.233 Cl
7.838 -6.600 -0.763 Cl
2.455 -5.554 0.803 In
6.792 -3.473 -1.333 In
-0.881 -2.317 1.000 Ti
```